--- 1 ---
# GGA-PBE YW3N, optimized geometry
data_YW3N
_chemical_formula_sum 'Y1 W3 N1'
_symmetry_space_group_name_H-M 'P m -3 m'
_symmetry_Int_Tables_number 221
_symmetry_space_group_name_Hall '-P 4 2 3'
_cell_length_a 4.293
_cell_length_b 4.293
_cell_length_c 4.293
_cell_angle_alpha 90.00
_cell_angle_beta 90.00
_cell_angle_gamma 90.00
loop_
_atom_site_label
_atom_site_type_symbol
_atom_site_fract_x
_atom_site_fract_y
_atom_site_fract_z
Y1 Y 0.000 0.000 0.000
W1 W 0.000 0.500 0.500
N1 N 0.500 0.500 0.500
# Calculated volume   79.1 Å³/cell
# Total moment   0.00 μB/f.u.

---

--- 2 ---
# GGA-PBE YW3N, optimized geometry
data_YW3N
_chemical_formula_sum 'Y1 W3 N1'
_symmetry_space_group_name_H-M 'P m -3 m'
_symmetry_Int_Tables_number 221
_symmetry_space_group_name_Hall '-P 4 2 3'
_cell_length_a 4.820
_cell_length_b 4.820
_cell_length_c 4.820
_cell_angle_alpha 90.00
_cell_angle_beta 90.00
_cell_angle_gamma 90.00
loop_
_atom_site_label
_atom_site_type_symbol
_atom_site_fract_x
_atom_site_fract_y
_atom_site_fract_z
Y1 Y 0.000 0.000 0.000
W1 W 0.000 0.000 0.500
N1 N 0.500 0.500 0.500
# Calculated volume   112.0 Å³/cell
# Total moment   0.00 μB/f.u.

---

Short version: 1 is the most stable of them.

---

--- 1 ---
# GGA-PBE Y3WN, optimized geometry
data_Y3WN
_chemical_formula_sum 'Y3 W1 N1'
_symmetry_space_group_name_H-M 'P m -3 m'
_symmetry_Int_Tables_number 221
_symmetry_space_group_name_Hall '-P 4 2 3'
_cell_length_a 5.309
_cell_length_b 5.309
_cell_length_c 5.309
_cell_angle_alpha 90.00
_cell_angle_beta 90.00
_cell_angle_gamma 90.00
loop_
_atom_site_label
_atom_site_type_symbol
_atom_site_fract_x
_atom_site_fract_y
_atom_site_fract_z
Y1 Y 0.000 0.000 0.500
W1 W 0.000 0.000 0.000
N1 N 0.500 0.500 0.500
# Calculated volume   149.6 Å³/cell
# Total moment   0.00 μB/f.u.

---

--- 2 ---
# GGA-PBE Y3WN, optimized geometry
data_Y3WN
_chemical_formula_sum 'Y3 W1 N1'
_symmetry_space_group_name_H-M 'P m -3 m'
_symmetry_Int_Tables_number 221
_symmetry_space_group_name_Hall '-P 4 2 3'
_cell_length_a 4.745
_cell_length_b 4.745
_cell_length_c 4.745
_cell_angle_alpha 90.00
_cell_angle_beta 90.00
_cell_angle_gamma 90.00
loop_
_atom_site_label
_atom_site_type_symbol
_atom_site_fract_x
_atom_site_fract_y
_atom_site_fract_z
Y1 Y 0.000 0.000 0.500
W1 W 0.500 0.500 0.500
N1 N 0.000 0.000 0.000
# Calculated volume   106.8 Å³/cell
# Total moment   0.86 μB/f.u.

---

Short version: 2 is the most stable of them.

---

--- 1 ---
# GGA-PBE Zn3WN, optimized geometry
data_Zn3WN
_chemical_formula_sum 'Zn3 W1 N1'
_symmetry_space_group_name_H-M 'P m -3 m'
_symmetry_Int_Tables_number 221
_symmetry_space_group_name_Hall '-P 4 2 3'
_cell_length_a 4.119
_cell_length_b 4.119
_cell_length_c 4.119
_cell_angle_alpha 90.00
_cell_angle_beta 90.00
_cell_angle_gamma 90.00
loop_
_atom_site_label
_atom_site_type_symbol
_atom_site_fract_x
_atom_site_fract_y
_atom_site_fract_z
Zn1 Zn 0.000 0.000 0.500
W1 W 0.500 0.500 0.500
N1 N 0.000 0.000 0.000
# Calculated volume   69.9 Å³/cell
# Total moment   1.87 μB/f.u.

---

--- 2 ---
# GGA-PBE Zn3WN, optimized geometry
data_Zn3WN
_chemical_formula_sum 'Zn3 W1 N1'
_symmetry_space_group_name_H-M 'P m -3 m'
_symmetry_Int_Tables_number 221
_symmetry_space_group_name_Hall '-P 4 2 3'
_cell_length_a 4.926
_cell_length_b 4.926
_cell_length_c 4.926
_cell_angle_alpha 90.00
_cell_angle_beta 90.00
_cell_angle_gamma 90.00
loop_
_atom_site_label
_atom_site_type_symbol
_atom_site_fract_x
_atom_site_fract_y
_atom_site_fract_z
Zn1 Zn 0.000 0.000 0.500
W1 W 0.000 0.000 0.000
N1 N 0.500 0.500 0.500
# Calculated volume   119.5 Å³/cell
# Total moment   0.00 μB/f.u.

---

Short version: 1 is the most stable of them.

---

--- 1 ---
# GGA-PBE Y2ZnN, optimized geometry
data_Y2ZnN
_chemical_formula_sum 'Y8 Zn4 N4'
_symmetry_space_group_name_H-M 'F m -3 m'
_symmetry_Int_Tables_number 225
_symmetry_space_group_name_Hall '-F 4 2 3'
_cell_length_a 6.709
_cell_length_b 6.709
_cell_length_c 6.709
_cell_angle_alpha 90.00
_cell_angle_beta 90.00
_cell_angle_gamma 90.00
loop_
_atom_site_label
_atom_site_type_symbol
_atom_site_fract_x
_atom_site_fract_y
_atom_site_fract_z
Y1 Y 0.250 0.250 0.250
Zn1 Zn 0.000 0.000 0.000
N1 N 0.000 0.000 0.500
# Calculated volume   301.9 Å³/cell
# Total moment   0.00 μB/f.u.

---

--- 2 ---
# GGA-PBE Y2ZnN, optimized geometry
data_Y2ZnN
_chemical_formula_sum 'Y6 Zn3 N3'
_symmetry_space_group_name_H-M 'R -3 m'
_symmetry_Int_Tables_number 166
_symmetry_space_group_name_Hall '-R 3 2"'
_cell_length_a 3.5139
_cell_length_b 3.5139
_cell_length_c 22.3259
_cell_angle_alpha 90.00
_cell_angle_beta 90.00
_cell_angle_gamma 120.00
loop_
_atom_site_label
_atom_site_type_symbol
_atom_site_fract_x
_atom_site_fract_y
_atom_site_fract_z
Y1 Y 0.0000 0.0000 0.2278
Zn1 Zn 0.0000 0.0000 0.0000
N1 N 0.0000 0.0000 0.5000
# Calculated volume   238.7 Å³/cell
# Total moment   0.00 μB/f.u.

---

Short version: 2 is the most stable of them.